Entry 1:
Here is crystalline Tb2YAu at its relaxed geometry from Alexandria via LeMat-Bulk. Energies are from PBE.

a b c (Å): 3.6394 3.6394 8.5046
angles (deg): 90.00 90.00 90.00
With the nearest neighbours (Å) after each atom.
Space group P4/mmm (No. 123)
One atom of each set of equivalent atoms:
Tb1 0.0000 0.0000 0.2063 [2 per cell]  4 Au 3.11
Y1 0.5000 0.5000 0.5000 [1 per cell]  8 Tb 3.59, 4 Y 3.64
Au1 0.5000 0.5000 0.0000 [1 per cell]  8 Tb 3.11

Properties
**E_form**: -0.3896 eV/atom
**Polymorph energy (0 for the lowest one)**: 56.0 meV per atom



Entry 2:
Here is crystalline GaNi2Pt8 at its relaxed geometry from Alexandria via LeMat-Bulk. Energies are from PBE.

a b c (Å): 11.6423 6.8879 4.5980
angles (deg): 90.00 105.18 90.00
With the nearest neighbours (Å) after each atom.
Space group C2/m (No. 12)
One atom of each set of equivalent atoms:
Ga1 0.0000 0.0000 0.0000 [2 per cell]  2 Ni 2.40, 6 Pt 2.51-2.52
Ni1 0.1189 0.0000 0.5120 [4 per cell]  1 Ga 2.40, 5 Pt 2.54-2.61
Pt1 0.0711 0.3004 0.7902 [8 per cell]  1 Ga 2.51, 1 Ni 2.57, 5 Pt 2.70-2.81
Pt2 0.1490 0.5000 0.3436 [4 per cell]  1 Ni 2.61, 8 Pt 2.71-2.83
Pt3 0.2222 0.0000 0.0724 [4 per cell]  1 Ga 2.52, 2 Ni 2.54-2.61, 6 Pt 2.70-2.80

Properties
**E_form**: 0.0911 eV/atom
**Polymorph energy (0 for the lowest one)**: 265.8 meV per atom



Entry 3:
Here is crystalline CaAl2P at its relaxed geometry from Alexandria via LeMat-Bulk. Energies are from PBE.

a b c (Å): 5.5697 10.7285 3.6625
angles (deg): 90.00 129.65 90.00
With the nearest neighbours (Å) after each atom.
Space group C2/m (No. 12)
One atom of each set of equivalent atoms:
Ca1 0.0000 0.0000 0.0000 [2 per cell]  4 P 2.78-2.86, 4 Al 3.02
Al1 0.2500 0.2500 0.0000 [4 per cell]  4 Al 2.78-2.86, 2 Ca 3.02, 2 P 3.02
P1 0.0000 0.5000 0.0000 [2 per cell]  4 Ca 2.78-2.86, 4 Al 3.02

Properties
**E_form**: -0.1675 eV/atom



Entry 4:
Here is crystalline PdSe3Cl at its relaxed geometry from Alexandria via LeMat-Bulk. Energies are from PBE.

a b c (Å): 4.9688 4.9688 4.9688
angles (deg): 90.00 90.00 90.00
With the nearest neighbours (Å) after each atom.
Space group Pm-3m (No. 221)
One atom of each set of equivalent atoms:
Pd1 0.0000 0.0000 0.0000 [1 per cell]  6 Se 2.48
Se1 0.0000 0.0000 0.5000 [3 per cell]  2 Pd 2.48
Cl1 0.5000 0.5000 0.5000 [1 per cell]  12 Se 3.51

Properties
**Formation energy without anion corrections**: 538 meV per atom
**Polymorph energy (0 for the lowest one)**: 474.4 meV per atom



Entry 5:
Here is crystalline Sr2ReBiO8 at its relaxed geometry from Alexandria via LeMat-Bulk. Energies are from PBE.

a b c (Å): 5.3181 5.3266 6.7470
angles (deg): 90.53 90.62 92.32
With the nearest neighbours (Å) after each atom.
Space group P-1 (No. 2)
One atom of each set of equivalent atoms:
Sr1 0.0120 0.0114 0.2589 [2 per cell]  6 O 2.42-2.55
Re1 0.5000 0.5000 0.5000 [1 per cell]  6 O 1.85-1.95
Bi1 0.5000 0.5000 0.0000 [1 per cell]  2 O 2.02
O1 0.2279 0.2250 0.9912 [2 per cell]  1 Bi 2.02
O2 0.2507 0.2480 0.5158 [2 per cell]  1 Re 1.85
O3 0.3171 0.6559 0.2851 [2 per cell]  1 Re 1.95
O4 0.3412 0.6805 0.7141 [2 per cell]  1 Re 1.95

Properties
**Formation energy without anion corrections**: -1726 meV per atom



Entry 6:
Here is crystalline BeNb2Al at its relaxed geometry from Alexandria via LeMat-Bulk. Energies are from PBE.

a b c (Å): 3.9817 3.9817 3.8985
angles (deg): 90.00 90.00 90.00
With the nearest neighbours (Å) after each atom.
Space group P4/mmm (No. 123)
One atom of each set of equivalent atoms:
Be1 0.0000 0.0000 0.0000 [1 per cell]  8 Nb 2.79, 4 Al 2.82
Nb1 0.0000 0.5000 0.5000 [2 per cell]  4 Be 2.79, 4 Al 2.79, 4 Nb 2.82
Al1 0.5000 0.5000 0.0000 [1 per cell]  8 Nb 2.79, 4 Be 2.82

Properties
**E_form**: -0.1289 eV/atom
**Polymorph energy (0 for the lowest one)**: 92.2 meV per atom



Entry 7:
Here is crystalline Re2SeBr at its relaxed geometry from Alexandria via LeMat-Bulk. Energies are from PBE.

a b c (Å): 3.1461 3.1461 6.4965
angles (deg): 90.00 90.00 90.00
With the nearest neighbours (Å) after each atom.
Space group P4/mmm (No. 123)
One atom of each set of equivalent atoms:
Re1 0.0000 0.0000 0.2209 [2 per cell]  4 Se 2.65, 4 Br 2.87, 1 Re 2.87
Se1 0.5000 0.5000 0.0000 [1 per cell]  8 Re 2.65
Br1 0.5000 0.5000 0.5000 [1 per cell]  8 Re 2.87, 4 Br 3.15

Properties
**Formation energy without anion corrections**: 1177 meV per atom
**Polymorph energy (0 for the lowest one)**: 991.1 meV per atom



Entry 8:
Here is crystalline InOsCl2 at its relaxed geometry from Alexandria via LeMat-Bulk. Energies are from PBE.

a b c (Å): 5.9298 9.2125 3.2656
angles (deg): 90.00 121.25 90.00
With the nearest neighbours (Å) after each atom.
Space group C2/m (No. 12)
One atom of each set of equivalent atoms:
In1 0.0000 0.0000 0.0000 [2 per cell]  4 Cl 2.74, 4 Os 2.96-3.07
Os1 0.0000 0.5000 0.0000 [2 per cell]  4 Cl 2.74, 4 In 2.96-3.07
Cl1 0.2500 0.2500 0.0000 [4 per cell]  2 Os 2.74, 2 In 2.74, 4 Cl 2.96-3.07

Properties
**Formation energy without anion corrections**: 671 meV per atom
**Polymorph energy (0 for the lowest one)**: 659.1 meV per atom



Entry 9:
Here is crystalline Ti3ZnAu at its relaxed geometry from Alexandria via LeMat-Bulk. Energies are from PBE.

a b c (Å): 4.6244 4.6244 4.6244
angles (deg): 90.00 90.00 90.00
With the nearest neighbours (Å) after each atom.
Space group Pm-3m (No. 221)
One atom of each set of equivalent atoms:
Ti1 0.0000 0.0000 0.5000 [3 per cell]  2 Zn 2.31
Zn1 0.0000 0.0000 0.0000 [1 per cell]  6 Ti 2.31
Au1 0.5000 0.5000 0.5000 [1 per cell]  12 Ti 3.27

Properties
**E_form**: 0.6570 eV/atom
**Polymorph energy (0 for the lowest one)**: 772.3 meV per atom



Entry 10:
Here is crystalline GaMo at its relaxed geometry from Alexandria via LeMat-Bulk. Energies are from PBE.

a b c (Å): 8.1138 8.1138 4.4147
angles (deg): 90.00 90.00 120.00
With the nearest neighbours (Å) after each atom.
Space group P6_3/mmc (No. 194)
One atom of each set of equivalent atoms:
Ga1 0.2131 0.4262 0.2500 [6 per cell]  6 Mo 2.71-2.74, 2 Ga 2.93
Mo1 0.1110 0.5555 0.7500 [6 per cell]  4 Mo 2.70-2.71, 6 Ga 2.71-2.74

Properties
**E_form**: 0.1397 eV/atom
**Polymorph energy (0 for the lowest one)**: 227.1 meV per atom



Entry 11:
Here is crystalline CsPt2Pb5 at its relaxed geometry from Alexandria via LeMat-Bulk. Energies are from PBE.

a b c (Å): 4.6645 8.0740 13.0000
angles (deg): 90.00 90.00 90.00
With the nearest neighbours (Å) after each atom.
Space group Immm (No. 71)
One atom of each set of equivalent atoms:
Cs1 0.0000 0.0000 0.0000 [2 per cell]  10 Pb 3.91-4.04, 4 Pt 4.35
Pt1 0.0000 0.5000 0.2178 [4 per cell]  7 Pb 2.83-2.97
Pb1 0.0000 0.2075 0.3415 [8 per cell]  3 Pt 2.86-2.97
Pb2 0.0000 0.5000 0.0000 [2 per cell]  2 Pt 2.83

Properties
**E_form**: -0.1754 eV/atom



Entry 12:
Here is crystalline FeBi3Ir at its relaxed geometry from Alexandria via LeMat-Bulk. Energies are from PBE.

a b c (Å): 4.9765 4.9765 4.9765
angles (deg): 90.00 90.00 90.00
With the nearest neighbours (Å) after each atom.
Space group Pm-3m (No. 221)
One atom of each set of equivalent atoms:
Fe1 0.0000 0.0000 0.0000 [1 per cell]  6 Bi 2.49
Bi1 0.0000 0.0000 0.5000 [3 per cell]  2 Fe 2.49
Ir1 0.5000 0.5000 0.5000 [1 per cell]  12 Bi 3.52

Properties
**E_form**: 0.8844 eV/atom
**Polymorph energy (0 for the lowest one)**: 0.0 meV per atom



Entry 13:
Here is crystalline CsTlW2 at its relaxed geometry from Alexandria via LeMat-Bulk. Energies are from PBE.

a b c (Å): 8.6022 8.6022 5.6958
angles (deg): 90.00 90.00 90.00
With the nearest neighbours (Å) after each atom.
Space group I-42d (No. 122)
One atom of each set of equivalent atoms:
Cs1 0.0000 0.0000 0.0000 [4 per cell]  2 Tl 2.85
Tl1 0.0000 0.0000 0.5000 [4 per cell]  2 Cs 2.85, 4 W 2.87
W1 0.2054 0.7500 0.6250 [8 per cell]  2 Tl 2.87, 2 W 2.95

Properties
**E_form**: 2.5851 eV/atom
**Polymorph energy (0 for the lowest one)**: 189.4 meV per atom



Entry 14:
Here is crystalline Cs2In2Te at its relaxed geometry from Alexandria via LeMat-Bulk. Energies are from PBE.

a b c (Å): 4.3893 4.3893 24.7319
angles (deg): 90.00 90.00 90.00
With the nearest neighbours (Å) after each atom.
Space group I4/mmm (No. 139)
One atom of each set of equivalent atoms:
Cs1 0.0000 0.0000 0.0880 [4 per cell]  4 Te 3.79
In1 0.0000 0.5000 0.2500 [4 per cell]  4 In 3.10
Te1 0.0000 0.0000 0.5000 [2 per cell]  8 Cs 3.79

Properties
**Formation energy without anion corrections**: -361 meV per atom
**Polymorph energy (0 for the lowest one)**: 0.0 meV per atom



Entry 15:
Here is crystalline HfAsP2O at its relaxed geometry from Alexandria via LeMat-Bulk. Energies are from PBE.

a b c (Å): 5.1478 5.1478 3.8889
angles (deg): 90.00 90.00 90.00
With the nearest neighbours (Å) after each atom.
Space group P4/mmm (No. 123)
One atom of each set of equivalent atoms:
Hf1 0.0000 0.0000 0.0000 [1 per cell]  2 O 1.94
As1 0.5000 0.5000 0.5000 [1 per cell]  8 P 3.23
P1 0.0000 0.5000 0.0000 [2 per cell]  2 Hf 2.57
O1 0.0000 0.0000 0.5000 [1 per cell]  2 Hf 1.94

Properties
**Formation energy without anion corrections**: -355 meV per atom
**Polymorph energy (0 for the lowest one)**: 0.0 meV per atom



Entry 16:
Here is crystalline KSc3Se4 at its relaxed geometry from Alexandria via LeMat-Bulk. Energies are from PBE.

a b c (Å): 3.9359 3.9359 27.8557
angles (deg): 90.00 90.00 120.00
With the nearest neighbours (Å) after each atom.
Space group P6_3/mmc (No. 194)
One atom of each set of equivalent atoms:
K1 0.3333 0.6667 0.2500 [2 per cell]  6 Se 3.26
Sc1 0.0000 0.0000 0.0000 [2 per cell]  6 Se 2.76
Sc2 0.3333 0.6667 0.6127 [4 per cell]  6 Se 2.72-2.77
Se1 0.0000 0.0000 0.1662 [4 per cell]  3 Sc 2.72
Se2 0.3333 0.6667 0.0559 [4 per cell]  6 Sc 2.76-2.77

Properties
**Formation energy without anion corrections**: -1609 meV per atom



Entry 17:
Here is crystalline Pr12ZnIn3 at its relaxed geometry from Alexandria via LeMat-Bulk. Energies are from PBE.

a b c (Å): 5.0077 5.0077 19.9189
angles (deg): 90.00 90.00 90.00
With the nearest neighbours (Å) after each atom.
Space group P4/mmm (No. 123)
One atom of each set of equivalent atoms:
Pr1 0.0000 0.0000 0.0000 [1 per cell]  8 Pr 3.47, 4 Zn 3.54
Pr2 0.0000 0.0000 0.2458 [2 per cell]  8 Pr 3.53-3.57, 4 In 3.54
Pr3 0.0000 0.0000 0.5000 [1 per cell]  4 In 3.54, 8 Pr 3.55
Pr4 0.0000 0.5000 0.1209 [4 per cell]  8 Pr 3.47-3.54, 2 Zn 3.47, 2 In 3.55
Pr5 0.0000 0.5000 0.3733 [4 per cell]  8 Pr 3.54-3.57, 4 In 3.55
Zn1 0.5000 0.5000 0.0000 [1 per cell]  12 Pr 3.47-3.54
In1 0.5000 0.5000 0.2470 [2 per cell]  12 Pr 3.54-3.55
In2 0.5000 0.5000 0.5000 [1 per cell]  12 Pr 3.54-3.55

Properties
**E_form**: -0.2213 eV/atom



Entry 18:
Here is crystalline AcAl2Ni at its relaxed geometry from Alexandria via LeMat-Bulk. Energies are from PBE.

a b c (Å): 15.6453 7.0704 6.1059
angles (deg): 90.00 90.00 90.00
With the nearest neighbours (Å) after each atom.
Space group Pnma (No. 62)
One atom of each set of equivalent atoms:
Ac1 0.1006 0.2500 0.1847 [4 per cell]  2 Ni 3.13-3.31, 10 Al 3.34-3.50
Ac2 0.1343 0.7500 0.0088 [4 per cell]  3 Ni 3.06-3.28, 4 Al 3.31
Al1 0.0498 0.0635 0.6707 [8 per cell]  3 Ni 2.48-2.57, 2 Al 2.64-2.75
Al2 0.2072 0.5593 0.5067 [8 per cell]  3 Ni 2.53-2.73, 2 Al 2.70-2.80
Ni1 0.0707 0.7500 0.4973 [4 per cell]  6 Al 2.48-2.53
Ni2 0.1890 0.2500 0.7242 [4 per cell]  6 Al 2.57-2.73

Properties
**E_form**: -0.4522 eV/atom
**Polymorph energy (0 for the lowest one)**: 64.4 meV per atom



Entry 19:
Here is crystalline Cr2IrW at its relaxed geometry from Alexandria via LeMat-Bulk. Energies are from PBE.

a b c (Å): 2.6935 2.6935 26.6299
angles (deg): 90.00 90.00 120.00
With the nearest neighbours (Å) after each atom.
Space group R-3m (No. 166, hexagonal axes)
One atom of each set of equivalent atoms:
Cr1 0.0000 0.0000 0.2459 [6 per cell]  3 Ir 2.62, 6 Cr 2.69, 3 W 2.80
Ir1 0.0000 0.0000 0.5000 [3 per cell]  6 Cr 2.62, 6 Ir 2.69
W1 0.0000 0.0000 0.0000 [3 per cell]  6 W 2.69, 6 Cr 2.80

Properties
**E_form**: 0.2389 eV/atom



Entry 20:
Here is crystalline Cs2K4GaSn2 at its relaxed geometry from Alexandria via LeMat-Bulk. Energies are from PBE.

a b c (Å): 15.4152 8.8793 6.4116
angles (deg): 90.00 105.54 90.00
With the nearest neighbours (Å) after each atom.
Space group C2/m (No. 12)
One atom of each set of equivalent atoms:
Cs1 0.1416 0.0000 0.2044 [4 per cell]  6 K 3.95-4.08, 1 Sn 4.04
K1 0.1282 0.2804 0.6926 [8 per cell]  1 Ga 3.70, 3 Sn 3.80-3.91, 2 K 3.90-4.06, 3 Cs 3.95-4.08
Ga1 0.0000 0.5000 0.0000 [2 per cell]  2 Sn 2.62
Sn1 0.1697 0.5000 0.2195 [4 per cell]  1 Ga 2.62

Properties
**E_form**: -0.1108 eV/atom



| no. | magnetic moment (μB/cell) |
| --- | --- |
| 1 | 0.00 |
| 2 | 4.20 |
| 3 | 0.00 |
| 4 | 0.06 |
| 5 | 0.00 |
| 6 | 0.00 |
| 7 | 0.00 |
| 8 | 2.19 |
| 9 | 0.00 |
| 10 | 0.00 |
| 11 | 0.00 |
| 12 | 1.16 |
| 13 | 3.04 |
| 14 | 0.86 |
| 15 | 0.00 |
| 16 | 0.00 |
| 17 | 0.00 |
| 18 | 0.00 |
| 19 | 0.12 |
| 20 | 1.91 |